Entry 1:
# BePtPbN2 | Alexandria via LeMat-Bulk | GGA-PBE | optimized geometry
# ΔE_f (raw): 1.319 eV/atom
# Space group: P4/mmm (123)
# E_tot: -23.53 eV for the cell shown
data_BePtPbN2
_chemical_formula_sum 'Be1 Pt1 Pb1 N2'
_cell_length_a 3.639
_cell_length_b 6.369
_cell_length_c 3.639
_cell_angle_alpha 90.00
_cell_angle_beta 90.00
_cell_angle_gamma 90.00
_space_group_name_H-M_alt 'P 1'
_space_group_IT_number 1
_space_group_name_Hall 'P 1'
loop_
_atom_site_label
_atom_site_fract_x
_atom_site_fract_y
_atom_site_fract_z
_atom_site_occupancy
N1 0.500 0.000 0.000 1
Pt1 0.500 0.500 0.500 1
N2 0.000 0.000 0.500 1
Be1 0.000 0.000 0.000 1
Pb1 0.000 0.500 0.000 1


Entry 2:
# BeRhPb2N | Alexandria via LeMat-Bulk | GGA-PBE | optimized geometry
# ΔE_f (raw): 1.177 eV/atom
# Space group: P4/mmm (123)
# E_tot: -20.94 eV for the cell shown
data_BeRhPb2N
_chemical_formula_sum 'Be1 Rh1 Pb2 N1'
_cell_length_a 4.995
_cell_length_b 4.007
_cell_length_c 4.995
_cell_angle_alpha 90.00
_cell_angle_beta 90.00
_cell_angle_gamma 90.00
_space_group_name_H-M_alt 'P 1'
_space_group_IT_number 1
_space_group_name_Hall 'P 1'
loop_
_atom_site_label
_atom_site_fract_x
_atom_site_fract_y
_atom_site_fract_z
_atom_site_occupancy
N1 0.500 0.500 0.500 1
Pb1 0.500 0.000 0.000 1
Pb2 0.000 0.000 0.500 1
Rh1 0.000 0.500 0.000 1
Be1 0.000 0.000 0.000 1


Entry 3:
# BePbSN2 | Alexandria via LeMat-Bulk | GGA-PBE | optimized geometry
# ΔE_f (raw): 1.100 eV/atom
# Space group: P4/mmm (123)
# E_tot: -22.71 eV for the cell shown
data_BePbSN2
_chemical_formula_sum 'Be1 Pb1 S1 N2'
_cell_length_a 3.920
_cell_length_b 3.920
_cell_length_c 5.532
_cell_angle_alpha 90.00
_cell_angle_beta 90.00
_cell_angle_gamma 90.00
_space_group_name_H-M_alt 'P 1'
_space_group_IT_number 1
_space_group_name_Hall 'P 1'
loop_
_atom_site_label
_atom_site_fract_x
_atom_site_fract_y
_atom_site_fract_z
_atom_site_occupancy
N1 0.500 0.000 0.000 1
Be1 0.000 0.000 0.000 1
Pb1 0.500 0.500 0.500 1
S1 0.000 0.000 0.500 1
N2 0.000 0.500 0.000 1


Entry 4:
# BeSb2PbN | Alexandria via LeMat-Bulk | GGA-PBE | optimized geometry
# ΔE_f (raw): 1.344 eV/atom
# Space group: P4/mmm (123)
# E_tot: -17.28 eV for the cell shown
data_BeSb2PbN
_chemical_formula_sum 'Be1 Sb2 Pb1 N1'
_cell_length_a 4.679
_cell_length_b 5.276
_cell_length_c 4.679
_cell_angle_alpha 90.00
_cell_angle_beta 90.00
_cell_angle_gamma 90.00
_space_group_name_H-M_alt 'P 1'
_space_group_IT_number 1
_space_group_name_Hall 'P 1'
loop_
_atom_site_label
_atom_site_fract_x
_atom_site_fract_y
_atom_site_fract_z
_atom_site_occupancy
N1 0.500 0.500 0.500 1
Sb1 0.000 0.000 0.500 1
Be1 0.000 0.000 0.000 1
Pb1 0.000 0.500 0.000 1
Sb2 0.500 0.000 0.000 1